# PrPu2O7

Crystalline PrPu2O7 at its relaxed geometry (PBE, Alexandria via LeMat-Bulk).

Unit cell a=10.636 b=10.636 c=10.636 alpha=20.91 beta=20.91 gamma=20.91
Element x y z (fractional)
Pr: 0.000 0.000 0.000
Pu: 0.434 0.434 0.434
Pu: 0.566 0.566 0.566
O: 0.081 0.081 0.081
O: 0.220 0.220 0.220
O: 0.365 0.365 0.365
O: 0.500 0.500 0.500
O: 0.635 0.635 0.635
O: 0.780 0.780 0.780
O: 0.919 0.919 0.919

uncorrected formation energy	-2774	meV/atom
magnetization	5.000	μB/cell
calculated volume	13.4	Å³ per atom
space-group type	No. 166